Arrangement w

A plane-wave DFT calculation with PBE was carried out for a relaxed structure of LaHfSn2.

Summary:
- Mass density: 8.8 g cm⁻³
- Symmetry: Fm-3m (225)
- Crystal system: cubic

The structure in POSCAR format:
```
LaHfSn2
1.0
0.000 3.748 3.748
3.748 0.000 3.748
3.748 3.748 0.000
La Sn Hf
1 2 1
Cartesian
0.000 0.000 0.000
5.621 5.621 5.621
1.874 1.874 1.874
3.748 3.748 3.748
```



Arrangement x

A plane-wave DFT calculation with PBE was carried out for a relaxed structure of LaHfSn2.

Summary:
- Mass density: 7.6 g cm⁻³
- Symmetry: I-42d (122)
- Crystal system: tetragonal

The structure in POSCAR format:
```
LaHfSn2
1.0
4.823 0.000 0.000
0.000 4.823 0.000
2.412 2.412 10.488
Sn Hf La
4 2 2
Cartesian
6.029 6.383 7.866
0.852 3.617 2.622
3.971 1.206 2.622
3.617 3.264 7.866
0.000 0.000 0.000
4.823 2.412 5.244
2.412 4.823 5.244
2.412 2.412 0.000
```



Arrangement y

A plane-wave DFT calculation with PBE was carried out for a relaxed structure of LaHfSn2.

Summary:
- Mass density: 8.3 g cm⁻³
- Symmetry: R-3m (166)
- Crystal system: trigonal

The structure in POSCAR format:
```
LaHfSn2
1.0
3.321 0.000 0.000
1.661 2.876 0.000
1.661 0.959 11.586
Hf Sn La
1 2 1
Cartesian
3.321 1.918 5.793
1.661 0.959 8.274
4.982 2.876 3.311
0.000 0.000 0.000
```



Stability ranking, top entry: arrangement w; the second entry is 261 meV/atom less favorable.



Arrangement w

A plane-wave DFT calculation with PBE was carried out for a relaxed structure of SrLaHf2.

Summary:
- Mass density: 8.3 g cm⁻³
- Symmetry: Fm-3m (225)
- Crystal system: cubic

The structure in POSCAR format:
```
SrLaHf2
1.0
5.052 -1.418 -1.625
1.487 -5.288 -0.046
0.716 -2.610 -4.780
Hf La Sr
2 1 1
Cartesian
5.442 -6.988 -4.838
1.814 -2.329 -1.613
3.628 -4.658 -3.225
0.000 0.000 0.000
```



Arrangement x

A plane-wave DFT calculation with PBE was carried out for a relaxed structure of SrLaHf2.

Summary:
- Mass density: 8.1 g cm⁻³
- Symmetry: I-42d (122)
- Crystal system: tetragonal

The structure in POSCAR format:
```
SrLaHf2
1.0
4.575 0.000 0.000
0.000 4.575 0.000
2.287 2.287 11.470
Hf Sr La
4 2 2
Cartesian
5.719 5.796 8.603
3.509 1.144 2.868
1.066 3.431 2.868
3.431 3.353 8.603
2.287 2.287 0.000
2.287 4.575 5.735
0.000 0.000 0.000
4.575 2.287 5.735
```



Stability ranking, top entry: arrangement w; the second entry is 162 meV/atom less favorable.



Arrangement w

A plane-wave DFT calculation with PBE was carried out for a relaxed structure of Sr3LaHf.

Summary:
- Mass density: 4.3 g cm⁻³
- Symmetry: Pm-3m (221)
- Crystal system: cubic

The structure in POSCAR format:
```
Sr3LaHf
1.0
-5.659 2.227 -0.082
-0.305 -0.995 -5.992
-2.207 -5.571 1.037
La Sr Hf
1 3 1
Cartesian
-4.085 -2.170 -2.518
-1.104 -2.786 0.519
-0.152 -0.497 -2.996
-2.829 1.113 -0.041
0.000 0.000 0.000
```



Arrangement x

A plane-wave DFT calculation with PBE was carried out for a relaxed structure of Sr3LaHf.

Summary:
- Mass density: 4.4 g cm⁻³
- Symmetry: Pm-3m (221)
- Crystal system: cubic

The structure in POSCAR format:
```
Sr3LaHf
1.0
6.013 0.000 0.000
0.000 6.013 0.000
0.000 0.000 6.013
Hf Sr La
1 3 1
Cartesian
3.006 3.006 3.006
0.000 0.000 3.006
0.000 3.006 0.000
3.006 0.000 0.000
0.000 0.000 0.000
```



Stability ranking, top entry: arrangement w; the second entry is 452 meV/atom less favorable.



Arrangement w

A plane-wave DFT calculation with PBE was carried out for a relaxed structure of SrLa3Hf.

Summary:
- Mass density: 5.3 g cm⁻³
- Symmetry: Pm-3m (221)
- Crystal system: cubic

The structure in POSCAR format:
```
SrLa3Hf
1.0
5.963 0.000 0.000
0.000 5.963 0.000
0.000 0.000 5.963
La Sr Hf
3 1 1
Cartesian
0.000 2.982 0.000
0.000 0.000 2.982
2.982 0.000 0.000
2.982 2.982 2.982
0.000 0.000 0.000
```



Arrangement x

A plane-wave DFT calculation with PBE was carried out for a relaxed structure of SrLa3Hf.

Summary:
- Mass density: 6.0 g cm⁻³
- Symmetry: Pm-3m (221)
- Crystal system: cubic

The structure in POSCAR format:
```
SrLa3Hf
1.0
-3.494 4.168 1.854
0.451 -2.009 5.365
4.539 3.408 0.895
La Hf Sr
3 1 1
Cartesian
2.270 1.704 0.447
0.225 -1.004 2.682
-1.747 2.084 0.927
0.748 2.783 4.057
0.000 0.000 0.000
```



Stability ranking, top entry: arrangement w; the second entry is 928 meV/atom less favorable.



Arrangement w

A plane-wave DFT calculation with PBE was carried out for a relaxed structure of SrLa2Hf2.

Summary:
- Mass density: 7.4 g cm⁻³
- Symmetry: P4/mbm (127)
- Crystal system: tetragonal

The structure in POSCAR format:
```
SrLa2Hf2
1.0
-0.841 9.591 -0.182
-3.302 -0.118 9.044
3.265 0.309 1.196
Hf Sr La
4 2 4
Cartesian
-0.874 5.832 0.879
-2.762 8.469 5.350
-3.270 3.641 7.984
-1.382 1.003 3.513
0.000 0.000 0.000
-2.072 4.736 4.431
-1.644 6.596 7.875
-0.108 7.966 3.328
0.765 3.186 2.183
-0.772 1.816 6.730
```



Arrangement x

A plane-wave DFT calculation with PBE was carried out for a relaxed structure of SrLa2Hf2.

Summary:
- Mass density: 7.6 g cm⁻³
- Symmetry: P4/mbm (127)
- Crystal system: tetragonal

The structure in POSCAR format:
```
SrLa2Hf2
1.0
9.625 0.000 0.000
0.000 9.625 0.000
0.000 0.000 3.421
La Sr Hf
4 2 4
Cartesian
6.537 1.724 0.000
1.724 3.088 0.000
7.901 6.537 0.000
3.088 7.901 0.000
4.813 4.813 0.000
0.000 0.000 0.000
3.735 1.077 1.710
5.890 8.548 1.710
8.548 3.735 1.710
1.077 5.890 1.710
```



Stability ranking, top entry: arrangement w; the second entry is 39 meV/atom less favorable.



Arrangement w

A plane-wave DFT calculation with PBE was carried out for a relaxed structure of LaHfTa2.

Summary:
- Mass density: 12.8 g cm⁻³
- Symmetry: Fm-3m (225)
- Crystal system: cubic

The structure in POSCAR format:
```
LaHfTa2
1.0
-0.802 -4.277 2.448
-3.516 -3.167 -1.593
1.311 -4.348 -2.074
Hf La Ta
1 1 2
Cartesian
-1.503 -5.896 -0.610
0.000 0.000 0.000
-2.255 -8.843 -0.915
-0.752 -2.948 -0.305
```



Arrangement x

A plane-wave DFT calculation with PBE was carried out for a relaxed structure of LaHfTa2.

Summary:
- Mass density: 12.0 g cm⁻³
- Symmetry: I-42d (122)
- Crystal system: tetragonal

The structure in POSCAR format:
```
LaHfTa2
1.0
7.977 0.000 0.000
0.000 7.977 0.000
3.989 3.989 2.943
Ta La Hf
4 2 2
Cartesian
9.972 10.071 2.207
6.083 1.994 0.736
1.895 5.983 0.736
5.983 5.884 2.207
3.989 7.977 1.472
3.989 3.989 0.000
7.977 3.989 1.472
0.000 0.000 0.000
```



Stability ranking, top entry: arrangement w; the second entry is 426 meV/atom less favorable.